[1]
First-principles (PBE) data for a relaxed structure of BaZrMo, as listed in Alexandria.

```
BaZrMo
1.0
-1.549 -1.077 2.924
2.831 -1.646 -1.177
4.467 4.741 4.114
Ba Mo Zr
1 1 1
Direct
0.000 0.000 0.028
0.667 0.333 0.369
0.333 0.667 0.603
```

Crystal system: trigonal
SG: P3m1

***

[2]
First-principles (PBE) data for a relaxed structure of PtS2ClO, as listed in Alexandria.

```
PtS2ClO
1.0
-2.319 1.920 3.529
2.197 -2.805 2.970
3.525 3.307 0.517
S O Pt Cl
2 1 1 1
Direct
0.000 0.500 0.000
0.500 0.000 0.000
0.500 0.500 0.500
0.000 0.000 0.000
0.000 0.000 0.500
```

Crystal system: tetragonal
SG: P4/mmm
Formation energy from raw total energies, eV/atom: 1.0785

***

Number 1: relative energy among the computed polymorphs 50 kJ/mol of formula units. Number 2: relative energy among the computed polymorphs 0 kJ/mol of formula units.